(1)
Compound: La2TmGa
Source: Alexandria
Functional: PBE-GGA
Structure: optimized geometry

```
La2TmGa
1.0
7.774 0.000 0.000
0.000 7.774 0.000
0.000 0.000 7.774
La Tm Ga
8 4 4
Cartesian
1.944 1.944 1.944 La
1.944 1.944 5.831 La
1.944 5.831 1.944 La
1.944 5.831 5.831 La
5.831 1.944 1.944 La
5.831 1.944 5.831 La
5.831 5.831 1.944 La
5.831 5.831 5.831 La
0.000 0.000 0.000 Tm
0.000 3.887 3.887 Tm
3.887 0.000 3.887 Tm
3.887 3.887 0.000 Tm
0.000 0.000 3.887 Ga
0.000 3.887 0.000 Ga
3.887 0.000 0.000 Ga
3.887 3.887 3.887 Ga
```

Results
* DFT total energy: -71.543 eV per cell
* offset from the most stable computed form: 0.396 eV/f.u.

(2)
Compound: VAu3C
Source: Alexandria
Functional: PBE-GGA
Structure: optimized geometry

```
VAu3C
1.0
4.348 0.000 0.000
0.000 4.348 0.000
0.000 0.000 4.348
V Au C
1 3 1
Cartesian
0.000 0.000 0.000 V
0.000 2.174 2.174 Au
2.174 0.000 2.174 Au
2.174 2.174 0.000 Au
2.174 2.174 2.174 C
```

Results
* DFT total energy: -24.020 eV per cell

(3)
Compound: Ac4RhSI2
Source: Alexandria
Functional: PBE-GGA
Structure: optimized geometry

```
Ac4RhSI2
1.0
7.873 0.000 0.000
0.000 4.292 0.000
-2.497 0.000 8.405
Ac Rh S I
4 1 1 2
Cartesian
1.214 0.000 1.590 Ac
0.100 2.146 6.768 Ac
5.276 2.146 1.637 Ac
4.162 0.000 6.815 Ac
0.000 2.146 0.000 Rh
3.936 0.000 0.000 S
-1.248 0.000 4.203 I
2.688 2.146 4.203 I
```

Results
* DFT total energy: -40.612 eV per cell
* ΔE_f (raw): -1.200 eV per atom

(4)
Compound: TaIrPt2
Source: Alexandria
Functional: PBE-GGA
Structure: optimized geometry

```
TaIrPt2
1.0
3.976 0.000 0.000
0.000 3.976 0.000
0.000 0.000 7.949
Ta Ir Pt
2 2 4
Cartesian
0.000 0.000 0.000 Ta
1.988 1.988 3.974 Ta
0.000 1.988 1.987 Ir
1.988 0.000 5.961 Ir
0.000 0.000 3.974 Pt
0.000 1.988 5.961 Pt
1.988 0.000 1.987 Pt
1.988 1.988 0.000 Pt
```

Results
* DFT total energy: -70.587 eV per cell
* offset from the most stable computed form: 0.032 eV/f.u.

(5)
Compound: ScAu
Source: Alexandria
Functional: PBE-GGA
Structure: optimized geometry

```
ScAu
1.0
3.701 0.000 0.000
0.000 4.443 0.000
0.000 0.000 9.578
Sc Au
4 4
Cartesian
0.000 1.111 1.129 Sc
0.000 3.332 8.448 Sc
1.851 1.111 3.660 Sc
1.851 3.332 5.918 Sc
0.000 1.111 5.999 Au
0.000 3.332 3.579 Au
1.851 1.111 8.368 Au
1.851 3.332 1.210 Au
```

Results
* DFT total energy: -43.518 eV per cell

(6)
Compound: Sn3AsS2
Source: Alexandria
Functional: PBE-GGA
Structure: optimized geometry

```
Sn3AsS2
1.0
18.179 0.000 0.000
0.000 4.082 0.000
-0.906 0.000 3.980
Sn As S
6 2 4
Cartesian
0.000 0.000 0.000 Sn
2.396 2.041 2.631 Sn
5.787 0.000 1.348 Sn
9.089 2.041 0.000 Sn
11.486 0.000 2.631 Sn
14.877 2.041 1.348 Sn
-0.453 2.041 1.990 As
8.636 0.000 1.990 As
2.840 0.000 0.676 S
5.343 2.041 3.303 S
11.930 2.041 0.676 S
14.433 0.000 3.303 S
```

Results
* DFT total energy: -53.060 eV per cell
* ΔE_f (raw): -0.270 eV per atom
* offset from the most stable computed form: 0.000 eV/f.u.

(7)
Compound: MnPb5
Source: Alexandria
Functional: PBE-GGA
Structure: optimized geometry

```
MnPb5
1.0
3.433 0.000 0.000
0.000 3.433 0.000
0.000 0.000 14.432
Mn Pb
1 5
Cartesian
0.000 0.000 0.000 Mn
0.000 0.000 4.622 Pb
0.000 0.000 9.810 Pb
1.716 1.716 1.867 Pb
1.716 1.716 7.216 Pb
1.716 1.716 12.565 Pb
```

Results
* DFT total energy: -26.678 eV per cell

(8)
Compound: CaAs2PdAu
Source: Alexandria
Functional: PBE-GGA
Structure: optimized geometry

```
CaAs2PdAu
1.0
4.998 0.000 0.000
0.000 4.998 0.000
0.000 0.000 5.407
Ca As Pd Au
1 2 1 1
Cartesian
0.000 0.000 0.000 Ca
0.000 2.499 2.703 As
2.499 0.000 2.703 As
2.499 2.499 0.000 Pd
0.000 0.000 2.703 Au
```

Results
* DFT total energy: -17.804 eV per cell

(9)
Compound: Pm7Zn2Ge2
Source: Alexandria
Functional: PBE-GGA
Structure: optimized geometry

```
Pm7Zn2Ge2
1.0
3.852 -5.527 0.000
3.852 5.527 0.000
0.000 0.000 7.444
Pm Zn Ge
7 2 2
Cartesian
0.000 0.000 0.000 Pm
1.926 2.764 2.163 Pm
1.926 2.764 5.281 Pm
1.926 -2.764 2.163 Pm
1.926 -2.764 5.281 Pm
3.852 0.000 1.896 Pm
3.852 0.000 5.548 Pm
3.852 2.378 0.000 Zn
3.852 -2.378 0.000 Zn
1.300 0.000 3.722 Ge
6.403 0.000 3.722 Ge
```

Results
* DFT total energy: -46.400 eV per cell

(10)
Compound: PrSm2TeO8
Source: Alexandria
Functional: PBE-GGA
Structure: optimized geometry

```
PrSm2TeO8
1.0
4.299 0.000 0.000
0.000 7.382 0.000
-0.475 0.000 5.325
Pr Sm Te O
1 2 1 8
Cartesian
0.000 0.000 0.000 Pr
1.912 1.912 2.663 Sm
1.912 5.471 2.663 Sm
0.000 3.691 0.000 Te
-0.046 2.187 4.083 O
-0.046 5.196 4.083 O
1.613 3.691 1.087 O
1.967 0.000 1.351 O
1.858 0.000 3.974 O
2.212 3.691 4.238 O
3.871 2.187 1.242 O
3.871 5.196 1.242 O
```

Results
* DFT total energy: -85.668 eV per cell
* ΔE_f (raw): -2.387 eV per atom

(11)
Compound: CdInRe
Source: Alexandria
Functional: PBE-GGA
Structure: optimized geometry

```
CdInRe
1.0
2.883 0.000 0.000
0.000 4.935 0.000
0.000 0.000 17.676
Cd In Re
4 4 4
Cartesian
0.000 0.000 0.000 Cd
0.000 2.467 8.838 Cd
1.442 0.000 8.838 Cd
1.442 2.467 0.000 Cd
0.000 0.000 12.528 In
0.000 2.467 3.690 In
1.442 0.000 3.690 In
1.442 2.467 12.528 In
0.000 0.000 6.255 Re
0.000 2.467 15.093 Re
1.442 0.000 15.093 Re
1.442 2.467 6.255 Re
```

Results
* DFT total energy: -56.598 eV per cell
* offset from the most stable computed form: 0.091 eV/f.u.

(12)
Compound: CaMg6Zn2
Source: Alexandria
Functional: PBE-GGA
Structure: optimized geometry

```
CaMg6Zn2
1.0
4.383 0.000 0.000
0.000 4.383 0.000
0.000 0.000 10.707
Ca Mg Zn
1 6 2
Cartesian
0.000 0.000 0.000 Ca
0.000 0.000 5.353 Mg
0.000 2.192 2.983 Mg
0.000 2.192 7.723 Mg
2.192 0.000 2.983 Mg
2.192 0.000 7.723 Mg
2.192 2.192 5.353 Mg
2.192 2.192 1.239 Zn
2.192 2.192 9.468 Zn
```

Results
* DFT total energy: -15.021 eV per cell

(13)
Compound: TbAlGe2O7
Source: Alexandria
Functional: PBE-GGA
Structure: optimized geometry

```
TbAlGe2O7
1.0
7.243 0.000 0.000
0.000 6.546 0.000
-5.978 0.000 11.238
Tb Al Ge O
4 4 8 28
Cartesian
-1.060 0.961 5.293 Tb
-4.049 2.312 10.912 Tb
5.313 4.234 0.326 Tb
2.324 5.585 5.945 Tb
-2.830 0.644 8.182 Al
0.159 2.629 2.563 Al
1.105 3.917 8.674 Al
4.094 5.902 3.055 Al
-1.156 4.309 5.089 Ge
-4.145 5.510 10.708 Ge
-2.117 3.849 8.121 Ge
0.872 5.970 2.502 Ge
0.393 0.576 8.735 Ge
3.382 2.697 3.116 Ge
5.409 1.036 0.529 Ge
2.420 2.237 6.148 Ge
-5.399 4.280 10.319 O
-2.410 5.539 4.700 O
0.001 4.488 2.120 O
-2.989 5.331 7.739 O
-3.664 0.357 9.754 O
-0.674 2.916 4.136 O
-0.056 0.783 3.129 O
-3.045 2.490 8.748 O
1.386 0.016 0.850 O
-1.603 3.257 6.469 O
-2.861 4.387 10.969 O
0.128 5.432 5.350 O
-1.076 0.769 7.761 O
1.913 2.504 2.142 O
-0.649 4.042 9.096 O
2.341 5.777 3.477 O
1.136 1.114 5.887 O
4.125 2.159 0.269 O
2.868 3.289 4.768 O
-0.121 6.530 10.387 O
4.310 4.056 2.489 O
1.320 5.763 8.108 O
1.939 3.630 7.102 O
4.928 6.189 1.483 O
4.253 1.215 3.498 O
1.264 2.058 9.117 O
3.674 1.007 6.537 O
6.663 2.266 0.919 O
```

Results
* DFT total energy: -316.317 eV per cell
* ΔE_f (raw): -2.433 eV per atom

(14)
Compound: HfCrCoW2
Source: Alexandria
Functional: PBE-GGA
Structure: optimized geometry

```
HfCrCoW2
1.0
4.541 0.000 0.000
0.000 4.541 0.000
0.000 0.000 4.182
Hf Cr Co W
1 1 1 2
Cartesian
0.000 0.000 0.000 Hf
2.271 2.271 2.091 Cr
2.271 2.271 0.000 Co
0.000 2.271 2.091 W
2.271 0.000 2.091 W
```

Results
* DFT total energy: -47.663 eV per cell

(15)
Compound: Pr2PuScO6
Source: Alexandria
Functional: PBE-GGA
Structure: optimized geometry

```
Pr2PuScO6
1.0
5.786 0.000 0.000
0.000 6.053 0.000
-5.737 0.000 8.437
Pr Pu Sc O
4 2 2 12
Cartesian
-0.096 0.336 2.132 Pr
-2.965 2.691 6.350 Pr
3.013 3.363 2.086 Pr
0.145 5.717 6.305 Pr
2.893 0.000 0.000 Pu
0.024 3.027 4.218 Pu
-2.868 0.000 4.218 Sc
0.000 3.027 0.000 Sc
-4.672 1.258 7.811 O
-1.803 1.769 3.592 O
-4.034 4.157 7.909 O
-1.166 4.923 3.690 O
-2.109 0.370 6.224 O
0.759 2.657 2.006 O
-0.710 3.396 6.431 O
2.158 5.684 2.212 O
1.214 1.130 4.746 O
4.083 1.897 0.528 O
1.852 4.284 4.844 O
4.720 4.796 0.626 O
```

Results
* DFT total energy: -184.294 eV per cell
* ΔE_f (raw): -3.218 eV per atom

(16)
Compound: ZrReSi
Source: Alexandria
Functional: PBE-GGA
Structure: optimized geometry

```
ZrReSi
1.0
4.305 0.000 0.000
0.000 6.383 0.000
0.000 0.000 7.539
Zr Re Si
4 4 4
Cartesian
0.000 0.000 0.000 Zr
0.000 3.191 0.736 Zr
2.152 0.000 4.506 Zr
2.152 3.191 3.769 Zr
0.000 1.996 5.440 Re
0.000 4.387 5.440 Re
2.152 1.196 1.671 Re
2.152 5.187 1.671 Re
0.000 1.368 2.981 Si
0.000 5.015 2.981 Si
2.152 1.824 6.751 Si
2.152 4.559 6.751 Si
```

Results
* DFT total energy: -110.548 eV per cell
* ΔE_f (raw): -0.406 eV per atom

(17)
Compound: Na2Pm4Te3N2
Source: Alexandria
Functional: PBE-GGA
Structure: optimized geometry

```
Na2Pm4Te3N2
1.0
-2.432 2.432 12.550
2.432 -2.432 12.550
2.432 2.432 -12.550
Na Pm Te N
2 4 3 2
Cartesian
0.000 0.000 4.922 Na
0.000 0.000 20.179 Na
2.432 0.000 2.200 Pm
2.432 0.000 10.351 Pm
0.000 2.432 2.200 Pm
0.000 2.432 10.351 Pm
0.000 0.000 8.111 Te
0.000 0.000 12.550 Te
0.000 0.000 16.990 Te
0.000 0.000 2.409 N
0.000 0.000 22.692 N
```

Results
* DFT total energy: -59.784 eV per cell
* ΔE_f (raw): -1.097 eV per atom

(18)
Compound: Cu3GeS3
Source: Alexandria
Functional: PBE-GGA
Structure: optimized geometry

```
Cu3GeS3
1.0
7.273 0.000 0.000
-3.636 6.299 0.000
0.000 0.000 5.225
Cu Ge S
6 2 6
Cartesian
0.000 2.703 1.306 Cu
-1.296 4.947 1.306 Cu
2.341 1.351 3.919 Cu
1.296 4.947 1.306 Cu
4.932 1.351 3.919 Cu
3.636 3.596 3.919 Cu
0.000 4.199 3.919 Ge
3.637 2.100 1.306 Ge
0.000 2.031 3.919 S
-1.878 5.283 3.919 S
1.759 1.015 1.306 S
1.878 5.283 3.919 S
5.514 1.015 1.306 S
3.637 4.268 1.306 S
```

Results
* DFT total energy: -57.390 eV per cell
* ΔE_f (raw): 0.085 eV per atom

(19)
Compound: Na8LiTl2
Source: Alexandria
Functional: PBE-GGA
Structure: optimized geometry

```
Na8LiTl2
1.0
7.756 -4.105 0.000
7.756 4.105 0.000
-1.569 0.000 5.741
Na Li Tl
8 1 2
Cartesian
5.663 2.461 4.117 Na
1.324 0.000 4.901 Na
8.281 2.461 1.625 Na
3.776 0.000 2.468 Na
10.168 0.000 3.273 Na
5.663 -2.461 4.117 Na
12.621 0.000 0.840 Na
8.281 -2.461 1.625 Na
6.972 0.000 2.871 Li
6.080 0.000 0.100 Tl
7.864 0.000 5.641 Tl
```

Results
* DFT total energy: -17.043 eV per cell
* offset from the most stable computed form: 0.040 eV/f.u.

(20)
Compound: SrAg2Os
Source: Alexandria
Functional: PBE-GGA
Structure: optimized geometry

```
SrAg2Os
1.0
3.037 0.000 0.000
0.000 5.201 0.000
0.000 0.000 10.328
Sr Ag Os
2 4 2
Cartesian
0.000 0.000 0.000 Sr
1.518 2.601 5.164 Sr
0.000 0.000 5.271 Ag
0.000 2.601 7.997 Ag
1.518 0.000 2.833 Ag
1.518 2.601 0.107 Ag
0.000 2.601 2.420 Os
1.518 0.000 7.585 Os
```

Results
* DFT total energy: -31.773 eV per cell
* offset from the most stable computed form: 0.323 eV/f.u.

(21)
Compound: Ce3TeRh
Source: Alexandria
Functional: PBE-GGA
Structure: optimized geometry

```
Ce3TeRh
1.0
6.103 -6.910 0.000
6.103 6.910 0.000
-0.477 0.000 6.405
Ce Te Rh
12 4 4
Cartesian
4.217 4.871 6.024 Ce
4.343 2.472 2.614 Ce
3.572 1.039 6.005 Ce
7.274 4.871 3.584 Ce
3.811 -1.039 2.802 Ce
7.625 2.472 0.589 Ce
4.104 -2.472 5.816 Ce
7.918 1.039 3.603 Ce
4.455 -4.871 2.821 Ce
8.156 -1.039 0.400 Ce
7.386 -2.472 3.791 Ce
7.512 -4.871 0.381 Ce
1.471 1.223 3.569 Te
1.710 -1.223 0.367 Te
10.019 1.223 6.038 Te
10.258 -1.223 2.836 Te
5.745 2.737 4.804 Rh
5.984 0.234 1.601 Rh
5.745 -0.234 4.804 Rh
5.984 -2.737 1.601 Rh
```

Results
* DFT total energy: -127.646 eV per cell
* ΔE_f (raw): -0.723 eV per atom

(22)
Compound: MgBeFe2
Source: Alexandria
Functional: PBE-GGA
Structure: optimized geometry

```
MgBeFe2
1.0
8.366 0.000 0.000
0.000 2.567 0.000
-0.693 0.000 4.608
Mg Be Fe
2 2 4
Cartesian
0.000 0.000 0.000 Mg
4.183 1.283 0.000 Mg
1.530 0.000 3.312 Be
5.713 1.283 3.312 Be
-0.245 1.283 2.355 Fe
1.977 1.283 1.349 Fe
3.938 0.000 2.355 Fe
6.160 0.000 1.349 Fe
```

Results
* DFT total energy: -42.789 eV per cell
* offset from the most stable computed form: 0.572 eV/f.u.

| no. | DOS at the Fermi energy (states/eV per cell) |
| --- | --- |
| 1 | 26.9 |
| 2 | 4.0 |
| 3 | 5.6 |
| 4 | 5.6 |
| 5 | 6.4 |
| 6 | 4.9 |
| 7 | 4.0 |
| 8 | 4.6 |
| 9 | 13.9 |
| 10 | 5.1 |
| 11 | 10.1 |
| 12 | 3.5 |
| 13 | 0.0 |
| 14 | 5.0 |
| 15 | 10.8 |
| 16 | 5.3 |
| 17 | 3.5 |
| 18 | 7.5 |
| 19 | 5.5 |
| 20 | 6.5 |
| 21 | 54.8 |
| 22 | 4.9 |